Below is an optimized crystal structure of Ni3AgC, with properties calculated at the GGA-PBE level.

Results
The formation energy comes out at 2.72 eV per atom. The relative energy among the computed polymorphs comes out at 2583 meV/atom.

Lattice parameters (Å, degrees): 4.5889 4.5889 4.5889 90.00 90.00 90.00
Last column: nearest neighbours and their distance in Å.
Space group Pm-3m (No. 221)
Symmetry-distinct sites (fractional):
1 Ni 0.0000 0.0000 0.5000 x3  2 Ag 2.29
2 Ag 0.0000 0.0000 0.0000 x1  6 Ni 2.29
3 C 0.5000 0.5000 0.5000 x1  12 Ni 3.24

Below is an optimized crystal structure of HoSc2In2, with properties calculated at the GGA-PBE level.

Results
The formation energy comes out at -0.03 eV per atom. The relative energy among the computed polymorphs comes out at 143 meV/atom.

Lattice parameters (Å, degrees): 5.2395 8.0020 6.4092 90.00 90.00 90.00
Last column: nearest neighbours and their distance in Å.
Space group Cmmm (No. 65)
Symmetry-distinct sites (fractional):
1 Ho 0.0000 0.0000 0.0000 x2  4 In 3.12, 4 Sc 3.48
2 Sc 0.0000 0.1702 0.5000 x4  3 Sc 2.72-2.91, 2 In 3.04
3 In 0.0000 0.5000 0.2631 x4  2 In 3.04-3.37, 6 Sc 3.04-3.32, 2 Ho 3.12

Number 1: density of states at the Fermi level 10.875 states/eV/f.u.. Number 2: density of states at the Fermi level 4.669 states/eV/f.u..